1.
First-principles (PBE-GGA) data for an optimized crystal structure of TlZnCr2Se, as listed in Alexandria via LeMat-Bulk.

## Properties
**Energy relative to the elements, uncorrected**: 857 meV per atom

a = 4.9040 Å, b = 5.0621 Å, c = 4.9040 Å
α = 90.00°, β = 90.00°, γ = 90.00°
Site moments in Bohr magnetons follow the coordinates.
Atoms (fractional coordinates):
Cr1 0.0000 0.0000 0.5000  3.91
Cr2 0.5000 0.0000 0.0000  3.78
Tl1 0.0000 0.5000 0.0000  0.03
Zn1 0.0000 0.0000 0.0000  0.04
Se1 0.5000 0.5000 0.5000  -0.12


2.
First-principles (PBE-GGA) data for an optimized crystal structure of ZrTl3Cr2Se6, as listed in Alexandria via LeMat-Bulk.

## Properties
**Energy relative to the elements, uncorrected**: -653 meV per atom

a = 6.5414 Å, b = 6.5414 Å, c = 8.3909 Å
α = 97.49°, β = 97.49°, γ = 120.03°
Site moments in Bohr magnetons follow the coordinates.
Atoms (fractional coordinates):
Zr1 0.0000 0.0000 0.0000  0.10
Tl1 0.1644 0.8356 0.5000  0.05
Tl2 0.8356 0.1644 0.5000  0.05
Tl3 0.5000 0.5000 0.5000  0.05
Cr1 0.3335 0.6665 0.0000  3.09
Cr2 0.6665 0.3335 0.0000  3.09
Se1 0.9396 0.5901 0.8182  -0.06
Se2 0.7113 0.7113 0.1805  -0.05
Se3 0.0604 0.4099 0.1818  -0.06
Se4 0.5901 0.9396 0.8182  -0.06
Se5 0.2887 0.2887 0.8195  -0.05
Se6 0.4099 0.0604 0.1818  -0.06


3.
First-principles (PBE-GGA) data for an optimized crystal structure of Zr2Tl2CrSe6, as listed in Alexandria via LeMat-Bulk.

## Properties
**Energy relative to the elements, uncorrected**: -913 meV per atom

a = 6.5805 Å, b = 6.5805 Å, c = 8.3056 Å
α = 97.94°, β = 97.94°, γ = 119.94°
Site moments in Bohr magnetons follow the coordinates.
Atoms (fractional coordinates):
Zr1 0.3303 0.6697 0.5000  0.02
Zr2 0.6697 0.3303 0.5000  0.02
Tl1 0.8288 0.1712 0.0000  0.01
Tl2 0.1712 0.8288 0.0000  0.01
Cr1 0.0000 0.0000 0.5000  3.09
Se1 0.7473 0.7473 0.6911  -0.03
Se2 0.0724 0.3909 0.6956  -0.02
Se3 0.2527 0.2527 0.3089  -0.03
Se4 0.3909 0.0724 0.6956  -0.02
Se5 0.9276 0.6091 0.3044  -0.02
Se6 0.6091 0.9276 0.3044  -0.02


VASP energy per entry: -0.1623 -0.1949 -0.2085 hartree per atom